Entry 1:
Material: Zr7TlBi2H2
Method: DFT, PBE
State: relaxed

Cell: 4.3218 4.3218 13.2384 Å, 79.24 79.24 89.94°
Last column: nearest neighbours and their distance in Å.
Fractional coordinates of all 12 atoms:
Zr 0.5000 0.5000 0.0000  2 H 2.12
Zr 0.2664 0.2664 0.4025  5 Bi 3.00-3.12, 1 H 3.02
Zr 0.7336 0.7336 0.5975  5 Bi 3.00-3.12, 1 H 3.02
Zr 0.8937 0.3921 0.1884  2 H 2.18
Zr 0.3921 0.8937 0.1884  2 H 2.18
Zr 0.6079 0.1063 0.8116  2 H 2.18
Zr 0.1063 0.6079 0.8116  2 H 2.18
Tl 0.0000 0.0000 0.0000  12 Zr 3.05-3.23
Bi 0.7918 0.7918 0.3653  9 Zr 3.00-3.13
Bi 0.2082 0.2082 0.6347  9 Zr 3.00-3.13
H 0.5934 0.5934 0.8342  5 Zr 2.12-2.18
H 0.4066 0.4066 0.1658  5 Zr 2.12-2.18

## Properties
E_tot (eV/atom): -6.72
Total moment (μB/cell): 0.0



Entry 2:
Material: Tm3Bi2H2
Method: DFT, PBE
State: relaxed

Cell: 4.1506 8.5976 8.6896 Å, 128.13 44.22 136.46°
Last column: nearest neighbours and their distance in Å.
Fractional coordinates of all 7 atoms:
Tm 0.0000 0.0000 0.0000  2 H 2.20
Tm 0.5605 0.6156 0.2421  3 H 2.21-2.35
Tm 0.4395 0.3844 0.7579  3 H 2.21-2.35
Bi 0.7326 0.7964 0.6407  7 Tm 3.07-3.41, 1 H 3.38
Bi 0.2674 0.2036 0.3593  7 Tm 3.07-3.41, 1 H 3.38
H 0.6329 0.3496 0.9278  4 Tm 2.20-2.35
H 0.3671 0.6504 0.0722  4 Tm 2.20-2.35

## Properties
E_tot (eV/atom): -4.63
Total moment (μB/cell): 0.0



Entry 3:
Material: Tm5Bi4H3
Method: DFT, PBE
State: relaxed

Cell: 3.7473 9.2811 9.0701 Å, 105.68 78.08 78.35°
Last column: nearest neighbours and their distance in Å.
Fractional coordinates of all 12 atoms:
Tm 0.1111 0.1766 0.6012  2 H 2.67
Tm 0.5000 0.5000 0.5000  2 H 1.87
Tm 0.9048 0.2102 0.9802  2 H 2.32
Tm 0.0952 0.7898 0.0198  2 H 2.32
Tm 0.8889 0.8234 0.3988  2 H 2.67
Bi 0.8338 0.5051 0.8273  1 H 2.89, 3 Tm 3.01-3.20
Bi 0.2153 0.8700 0.6995  6 Tm 3.16-3.28, 2 H 3.36
Bi 0.7847 0.1300 0.3005  6 Tm 3.16-3.28, 2 H 3.36
Bi 0.1662 0.4949 0.1727  1 H 2.89, 3 Tm 3.01-3.20
H 0.5077 0.8059 0.1788  2 Tm 2.32
H 0.0000 0.5000 0.5000  2 Tm 1.87
H 0.4923 0.1941 0.8212  2 Tm 2.32

## Properties
E_tot (eV/atom): -4.30
Total moment (μB/cell): 0.5



Entry 4:
Material: Tm5Bi2H2
Method: DFT, PBE
State: relaxed

Cell: 5.4097 6.5858 6.4746 Å, 100.58 90.00 114.25°
Last column: nearest neighbours and their distance in Å.
Fractional coordinates of all 9 atoms:
Tm 0.3146 0.6293 0.1295  1 H 2.14
Tm 0.6854 0.3707 0.8705  1 H 2.14
Tm 0.1435 0.2869 0.5521  1 H 2.15
Tm 0.8565 0.7131 0.4479  1 H 2.15
Tm 0.0000 0.0000 0.0000  2 H 2.21
Bi 0.4116 0.8232 0.7031  7 Tm 3.17-3.36, 1 H 3.44
Bi 0.5884 0.1768 0.2969  7 Tm 3.17-3.36, 1 H 3.44
H 0.1626 0.3252 0.8900  3 Tm 2.14-2.21
H 0.8374 0.6748 0.1100  3 Tm 2.14-2.21

## Properties
E_tot (eV/atom): -4.46
Total moment (μB/cell): 0.0



> Which value of E_tot does entry 1 give?

-6.72 eV/atom